A plane-wave DFT calculation with PBE+U was carried out for a relaxed LiFeW2O8 crystal.

- DFT total energy (eV/cell) = -169.7

abc: 7.4559 7.4559 5.0221
angles: 90.77 90.77 101.60
Fractional coordinates of all 24 atoms:
Li1 0.1605 0.8395 0.7500
Li2 0.8395 0.1605 0.2500
Fe1 0.3279 0.6721 0.2500
Fe2 0.6721 0.3279 0.7500
W1 0.1618 0.3372 0.7441
W2 0.3372 0.1618 0.2441
W3 0.6628 0.8382 0.7559
W4 0.8382 0.6628 0.2559
O1 0.0707 0.6843 0.3910
O2 0.0970 0.1949 0.0563
O3 0.1949 0.0970 0.5563
O4 0.2012 0.5633 0.9126
O5 0.3029 0.4234 0.4217
O6 0.3157 0.9293 0.1090
O7 0.4234 0.3029 0.9217
O8 0.4367 0.7988 0.5874
O9 0.5633 0.2012 0.4126
O10 0.5766 0.6971 0.0783
O11 0.6843 0.0707 0.8910
O12 0.6971 0.5766 0.5783
O13 0.7988 0.4367 0.0874
O14 0.8051 0.9030 0.4437
O15 0.9030 0.8051 0.9437
O16 0.9293 0.3157 0.6090